LaIn2AgRu: optimized geometry, GGA-PBEsol.

```
LaIn2AgRu
1.0
4.949 0.000 0.000
0.000 4.949 0.000
0.000 0.000 5.569
La In Ag Ru
1 2 1 1
Cartesian
0.000 0.000 0.000
0.000 2.475 2.785
2.475 0.000 2.785
0.000 0.000 2.785
2.475 2.475 0.000
```

Calculated values
**N(E_F)**: 1.13 states/eV/atom
**Energy of formation from the pure elements**: 0.84 eV/atom
**Magnetic moment**: 1.14 μB/cell